[1]
# PBE-GGA CaCd2AgHg, relaxed
data_CaCd2AgHg
_chemical_formula_sum 'Ca4 Cd8 Ag4 Hg4'
_cell_length_a 4.936
_cell_length_b 14.713
_cell_length_c 6.565
_cell_angle_alpha 90.00
_cell_angle_beta 90.00
_cell_angle_gamma 90.00
_symmetry_space_group_name_H-M 'C m c m'
_symmetry_Int_Tables_number 63
_symmetry_space_group_name_Hall '-C 2c 2'
loop_
_atom_site_label
_atom_site_type_symbol
_atom_site_fract_x
_atom_site_fract_y
_atom_site_fract_z
_atom_site_occupancy
Ca1 Ca 0.000 0.090 0.250 1
Cd1 Cd 0.000 0.304 0.016 1
Ag1 Ag 0.000 0.137 0.750 1
Hg1 Hg 0.000 0.500 0.000 1
# Fermi-level density of states (states/eV/cell): 7.48
# M_tot (μB/atom): 0.000
# Calculated formation energy (meV per atom): -222
# E_tot (eV per cell): -32.4
# Crystal system: orthorhombic

=====

[2]
# PBE-GGA CaCdAgHg, relaxed
data_CaCdAgHg
_chemical_formula_sum 'Ca4 Cd4 Ag4 Hg4'
_cell_length_a 7.188
_cell_length_b 7.188
_cell_length_c 7.188
_cell_angle_alpha 90.00
_cell_angle_beta 90.00
_cell_angle_gamma 90.00
_symmetry_space_group_name_H-M 'F -4 3 m'
_symmetry_Int_Tables_number 216
_symmetry_space_group_name_Hall 'F -4 2 3'
loop_
_atom_site_label
_atom_site_type_symbol
_atom_site_fract_x
_atom_site_fract_y
_atom_site_fract_z
_atom_site_occupancy
Ca1 Ca 0.000 0.000 0.000 1
Cd1 Cd 0.000 0.000 0.500 1
Ag1 Ag 0.250 0.250 0.750 1
Hg1 Hg 0.250 0.250 0.250 1
# Fermi-level density of states (states/eV/cell): 8.96
# M_tot (μB/atom): 0.000
# Calculated formation energy (meV per atom): -310
# E_tot (eV per cell): -29.2
# Crystal system: cubic

=====

[3]
# PBE-GGA Ca3Cd2Ag2Hg4, relaxed
data_Ca3Cd2Ag2Hg4
_chemical_formula_sum 'Ca3 Cd2 Ag2 Hg4'
_cell_length_a 4.9511
_cell_length_b 4.9511
_cell_length_c 13.5070
_cell_angle_alpha 90.00
_cell_angle_beta 90.00
_cell_angle_gamma 120.00
_symmetry_space_group_name_H-M 'P -3 m 1'
_symmetry_Int_Tables_number 164
_symmetry_space_group_name_Hall '-P 3 2"'
loop_
_atom_site_label
_atom_site_type_symbol
_atom_site_fract_x
_atom_site_fract_y
_atom_site_fract_z
_atom_site_occupancy
Ca1 Ca 0.0000 0.0000 0.0000 1
Ca2 Ca 0.0000 0.0000 0.2687 1
Cd1 Cd 0.3333 0.6667 0.5813 1
Ag1 Ag 0.3333 0.6667 0.1367 1
Hg1 Hg 0.3333 0.6667 0.3656 1
Hg2 Hg 0.3333 0.6667 0.8691 1
# Fermi-level density of states (states/eV/cell): 6.25
# M_tot (μB/atom): 0.000
# Calculated formation energy (meV per atom): -305
# E_tot (eV per cell): -18.1
# Crystal system: trigonal

=====

[4]
# PBE-GGA Ca2CdAgHg, relaxed
data_Ca2CdAgHg
_chemical_formula_sum 'Ca2 Cd1 Ag1 Hg1'
_cell_length_a 5.726
_cell_length_b 5.726
_cell_length_c 5.169
_cell_angle_alpha 90.00
_cell_angle_beta 90.00
_cell_angle_gamma 90.00
_symmetry_space_group_name_H-M 'P 4/m m m'
_symmetry_Int_Tables_number 123
_symmetry_space_group_name_Hall '-P 4 2'
loop_
_atom_site_label
_atom_site_type_symbol
_atom_site_fract_x
_atom_site_fract_y
_atom_site_fract_z
_atom_site_occupancy
Ca1 Ca 0.000 0.500 0.000 1
Cd1 Cd 0.000 0.000 0.500 1
Ag1 Ag 0.000 0.000 0.000 1
Hg1 Hg 0.500 0.500 0.500 1
# Fermi-level density of states (states/eV/cell): 3.23
# M_tot (μB/atom): 0.000
# Calculated formation energy (meV per atom): -77
# E_tot (eV per cell): -8.5
# Crystal system: tetragonal

=====

[5]
# PBE-GGA Ca4CdAg2Hg, relaxed
data_Ca4CdAg2Hg
_chemical_formula_sum 'Ca12 Cd3 Ag6 Hg3'
_cell_length_a 5.3143
_cell_length_b 5.3143
_cell_length_c 26.1415
_cell_angle_alpha 90.00
_cell_angle_beta 90.00
_cell_angle_gamma 120.00
_symmetry_space_group_name_H-M 'R -3 m'
_symmetry_Int_Tables_number 166
_symmetry_space_group_name_Hall '-R 3 2"'
loop_
_atom_site_label
_atom_site_type_symbol
_atom_site_fract_x
_atom_site_fract_y
_atom_site_fract_z
_atom_site_occupancy
Ca1 Ca 0.0000 0.0000 0.1235 1
Ca2 Ca 0.0000 0.0000 0.3737 1
Cd1 Cd 0.0000 0.0000 0.5000 1
Ag1 Ag 0.0000 0.0000 0.2475 1
Hg1 Hg 0.0000 0.0000 0.0000 1
# Fermi-level density of states (states/eV/cell): 21.38
# M_tot (μB/atom): 0.000
# Calculated formation energy (meV per atom): -369
# E_tot (eV per cell): -53.6
# Crystal system: trigonal

=====

[6]
# PBE-GGA Ca2CdInAg, relaxed
data_Ca2CdInAg
_chemical_formula_sum 'Ca2 Cd1 In1 Ag1'
_cell_length_a 5.860
_cell_length_b 5.860
_cell_length_c 5.089
_cell_angle_alpha 90.00
_cell_angle_beta 90.00
_cell_angle_gamma 90.00
_symmetry_space_group_name_H-M 'P 4/m m m'
_symmetry_Int_Tables_number 123
_symmetry_space_group_name_Hall '-P 4 2'
loop_
_atom_site_label
_atom_site_type_symbol
_atom_site_fract_x
_atom_site_fract_y
_atom_site_fract_z
_atom_site_occupancy
Ca1 Ca 0.000 0.500 0.000 1
Cd1 Cd 0.000 0.000 0.000 1
In1 In 0.500 0.500 0.500 1
Ag1 Ag 0.000 0.000 0.500 1
# Fermi-level density of states (states/eV/cell): 3.58
# M_tot (μB/atom): 0.000
# Calculated formation energy (meV per atom): 140
# E_tot (eV per cell): -9.8
# Crystal system: tetragonal